A relaxed MnFe2MoO6 crystal, computed with GGA+U.

Properties
Total moment, μB/f.u.: 12.94
Raw total energy, eV/atom: -7.055

Cell lengths 5.216, 5.325, 8.015 Å; angles 90.00, 87.44, 90.00 degrees
Site moments in Bohr magnetons follow the coordinates.
Element x y z (fractional)
Fe 0.020 0.956 0.273  3.75
Fe 0.980 0.044 0.727  3.75
Fe 0.480 0.456 0.227  3.75
Fe 0.520 0.544 0.773  3.75
O 0.673 0.313 0.958  0.02
O 0.128 0.416 0.777  0.01
O 0.808 0.811 0.906  0.02
O 0.173 0.187 0.458  0.02
O 0.372 0.916 0.723  0.01
O 0.327 0.687 0.042  0.02
O 0.308 0.689 0.406  0.02
O 0.628 0.084 0.277  0.01
O 0.192 0.189 0.094  0.02
O 0.827 0.813 0.542  0.02
O 0.872 0.584 0.223  0.01
O 0.692 0.311 0.594  0.02
Mn 0.000 0.500 0.500  3.97
Mn 0.500 0.000 0.000  3.97
Mo 0.000 0.500 0.000  1.07
Mo 0.500 0.000 0.500  1.07